Crystalline PrYHoCu at its relaxed geometry. Source: the Alexandria database, functional PBE-GGA.

Properties
DFT formation energy ... -102 meV/atom
Spin magnetization ... 0.000 μB/f.u.
VASP energy ... -5.08 eV/atom
Calculated volume ... 27.35 Å³/atom

Geometry as CIF:
```
data_PrYHoCu
_cell_length_a 3.532
_cell_length_b 3.532
_cell_length_c 8.773
_cell_angle_alpha 90.00
_cell_angle_beta 90.00
_cell_angle_gamma 90.00
_space_group_name_H-M_alt 'P 4 m m'
_space_group_IT_number 99
loop_
_space_group_symop_operation_xyz
'x,y,z'
'-y,x,z'
'-x,-y,z'
'y,-x,z'
'-x,y,z'
'y,x,z'
'x,-y,z'
'-y,-x,z'
loop_
_atom_site_label
_atom_site_fract_x
_atom_site_fract_y
_atom_site_fract_z
Pr1 0.000 0.000 0.000
Y1 0.500 0.500 0.688
Ho1 0.500 0.500 0.307
Cu1 0.000 0.000 0.492
```

=====

Crystalline K3NaAu3 at its relaxed geometry. Source: the Alexandria database, functional PBE-GGA.

Properties
DFT formation energy ... -293 meV/atom
Spin magnetization ... 0.000 μB/f.u.
VASP energy ... -2.36 eV/atom
Energy relative to the lowest polymorph listed for this composition ... 0 meV per atom
Calculated volume ... 32.73 Å³/atom

Geometry as CIF:
```
data_K3NaAu3
_cell_length_a 12.317
_cell_length_b 4.855
_cell_length_c 16.456
_cell_angle_alpha 90.00
_cell_angle_beta 111.37
_cell_angle_gamma 90.00
_space_group_name_H-M_alt 'C 1 2/m 1'
_space_group_IT_number 12
loop_
_space_group_symop_operation_xyz
'x,y,z'
'-x,-y,-z'
'-x,y,-z'
'x,-y,z'
'x+1/2,y+1/2,z'
'-x+1/2,-y+1/2,-z'
'-x+1/2,y+1/2,-z'
'x+1/2,-y+1/2,z'
loop_
_atom_site_label
_atom_site_fract_x
_atom_site_fract_y
_atom_site_fract_z
K1 0.013 0.000 0.372
K2 0.106 0.000 0.927
K3 0.243 0.000 0.221
Na1 0.230 0.500 0.410
Au1 0.042 0.500 0.230
Au2 0.105 0.500 0.077
Au3 0.120 0.500 0.548
```

=====

Crystalline CeHo8Tm6 at its relaxed geometry. Source: the Alexandria database, functional PBE-GGA.

Properties
DFT formation energy ... 136 meV/atom
Spin magnetization ... 1.192 μB/f.u.
VASP energy ... -4.49 eV/atom
Energy relative to the lowest polymorph listed for this composition ... 0 meV per atom
Calculated volume ... 31.06 Å³/atom

Geometry as CIF:
```
data_CeHo8Tm6
_cell_length_a 8.8995
_cell_length_b 8.8995
_cell_length_c 20.3786
_cell_angle_alpha 90.00
_cell_angle_beta 90.00
_cell_angle_gamma 120.00
_space_group_name_H-M_alt 'R -3'
_space_group_IT_number 148
_space_group_name_Hall '-R 3'
loop_
_atom_site_label
_atom_site_fract_x
_atom_site_fract_y
_atom_site_fract_z
Ce1 0.0000 0.0000 0.0000
Ho1 0.0000 0.0000 0.4228
Ho2 0.0816 0.5239 0.8064
Tm1 0.0593 0.8128 0.7076
```

=====

Crystalline Sm8Te4P3Au at its relaxed geometry. Source: the Alexandria database, functional PBE-GGA.

Properties
Spin magnetization ... 0.000 μB/f.u.
VASP energy ... -5.79 eV/atom
Calculated volume ... 28.14 Å³/atom

Geometry as CIF:
```
data_Sm8Te4P3Au
_cell_length_a 8.5257
_cell_length_b 8.5257
_cell_length_c 21.4581
_cell_angle_alpha 90.00
_cell_angle_beta 90.00
_cell_angle_gamma 120.00
_space_group_name_H-M_alt 'R -3 m'
_space_group_IT_number 166
_space_group_name_Hall '-R 3 2"'
loop_
_atom_site_label
_atom_site_fract_x
_atom_site_fract_y
_atom_site_fract_z
Sm1 0.0000 0.0000 0.2370
Sm2 0.0094 0.5047 0.7598
Te1 0.0000 0.0000 0.0000
Te2 0.0000 0.5000 0.0000
P1 0.0000 0.5000 0.5000
Au1 0.0000 0.0000 0.5000
```

=====

Crystalline Zr3Co8Cu at its relaxed geometry. Source: the Alexandria database, functional PBE-GGA.

Properties
DFT formation energy ... -240 meV/atom
Spin magnetization ... 6.279 μB/f.u.
VASP energy ... -7.46 eV/atom
Calculated volume ... 13.37 Å³/atom

Geometry as CIF:
```
data_Zr3Co8Cu
_cell_length_a 4.8369
_cell_length_b 4.8369
_cell_length_c 23.7499
_cell_angle_alpha 90.00
_cell_angle_beta 90.00
_cell_angle_gamma 120.00
_space_group_name_H-M_alt 'R 3 m'
_space_group_IT_number 160
_space_group_name_Hall 'R 3 -2"'
loop_
_atom_site_label
_atom_site_fract_x
_atom_site_fract_y
_atom_site_fract_z
Zr1 0.0000 0.0000 0.0000
Zr2 0.0000 0.0000 0.1298
Zr3 0.0000 0.0000 0.5159
Co1 0.0000 0.0000 0.3184
Co2 0.0000 0.0000 0.8189
Co3 0.1677 0.3353 0.4013
Co4 0.1678 0.3355 0.9026
Cu1 0.0000 0.0000 0.6354
```

=====

Crystalline PrPaOs4 at its relaxed geometry. Source: the Alexandria database, functional PBE-GGA.

Properties
DFT formation energy ... -148 meV/atom
Spin magnetization ... 0.000 μB/f.u.
VASP energy ... -10.01 eV/atom
Calculated volume ... 18.66 Å³/atom

Geometry as CIF:
```
data_PrPaOs4
_cell_length_a 7.651
_cell_length_b 7.651
_cell_length_c 7.651
_cell_angle_alpha 90.00
_cell_angle_beta 90.00
_cell_angle_gamma 90.00
_space_group_name_H-M_alt 'F -4 3 m'
_space_group_IT_number 216
_space_group_name_Hall 'F -4 2 3'
loop_
_atom_site_label
_atom_site_fract_x
_atom_site_fract_y
_atom_site_fract_z
Pr1 0.000 0.000 0.000
Pa1 0.250 0.250 0.250
Os1 0.125 0.125 0.625
```

=====

Crystalline LaAl2As2 at its relaxed geometry. Source: the Alexandria database, functional PBE-GGA.

Properties
DFT formation energy ... -584 meV/atom
Spin magnetization ... 0.000 μB/f.u.
VASP energy ... -4.93 eV/atom
Energy relative to the lowest polymorph listed for this composition ... 0 meV per atom
Calculated volume ... 22.02 Å³/atom

Geometry as CIF:
```
data_LaAl2As2
_cell_length_a 4.959
_cell_length_b 4.959
_cell_length_c 8.954
_cell_angle_alpha 90.00
_cell_angle_beta 90.00
_cell_angle_gamma 90.00
_space_group_name_H-M_alt 'I 4/m m m'
_space_group_IT_number 139
_space_group_name_Hall '-I 4 2'
loop_
_atom_site_label
_atom_site_fract_x
_atom_site_fract_y
_atom_site_fract_z
La1 0.000 0.000 0.000
Al1 0.000 0.000 0.352
As1 0.000 0.500 0.250
```

=====

Crystalline AcThPa2 at its relaxed geometry. Source: the Alexandria database, functional PBE-GGA.

Properties
DFT formation energy ... 461 meV/atom
Spin magnetization ... 0.000 μB/f.u.
VASP energy ... -7.17 eV/atom
Calculated volume ... 30.73 Å³/atom

Geometry as CIF:
```
data_AcThPa2
_cell_length_a 3.3801
_cell_length_b 3.3801
_cell_length_c 37.2729
_cell_angle_alpha 90.00
_cell_angle_beta 90.00
_cell_angle_gamma 120.00
_space_group_name_H-M_alt 'R -3 m'
_space_group_IT_number 166
_space_group_name_Hall '-R 3 2"'
loop_
_atom_site_label
_atom_site_fract_x
_atom_site_fract_y
_atom_site_fract_z
Ac1 0.0000 0.0000 0.0000
Th1 0.0000 0.0000 0.5000
Pa1 0.0000 0.0000 0.0900
```

=====

Crystalline NdDy3Ni2 at its relaxed geometry. Source: the Alexandria database, functional PBE-GGA.

Properties
DFT formation energy ... -213 meV/atom
Spin magnetization ... 0.000 μB/f.u.
VASP energy ... -5.24 eV/atom
Energy relative to the lowest polymorph listed for this composition ... 51 meV per atom
Calculated volume ... 26.37 Å³/atom

Geometry as CIF:
```
data_NdDy3Ni2
_cell_length_a 15.988
_cell_length_b 4.051
_cell_length_c 12.421
_cell_angle_alpha 90.00
_cell_angle_beta 128.11
_cell_angle_gamma 90.00
_space_group_name_H-M_alt 'C 1 2/m 1'
_space_group_IT_number 12
loop_
_space_group_symop_operation_xyz
'x,y,z'
'-x,-y,-z'
'-x,y,-z'
'x,-y,z'
'x+1/2,y+1/2,z'
'-x+1/2,-y+1/2,-z'
'-x+1/2,y+1/2,-z'
'x+1/2,-y+1/2,z'
loop_
_atom_site_label
_atom_site_fract_x
_atom_site_fract_y
_atom_site_fract_z
Nd1 0.136 0.000 0.245
Dy1 0.077 0.500 0.431
Dy2 0.125 0.500 0.941
Dy3 0.152 0.000 0.706
Ni1 0.233 0.000 0.545
Ni2 0.236 0.000 0.120
```

=====

Crystalline La3InCoS7 at its relaxed geometry. Source: the Alexandria database, functional PBE-GGA.

Properties
Spin magnetization ... 0.969 μB/f.u.
VASP energy ... -5.97 eV/atom
Calculated volume ... 23.40 Å³/atom

Geometry as CIF:
```
data_La3InCoS7
_cell_length_a 10.0827
_cell_length_b 10.0827
_cell_length_c 6.3779
_cell_angle_alpha 90.00
_cell_angle_beta 90.00
_cell_angle_gamma 120.00
_space_group_name_H-M_alt 'P 63'
_space_group_IT_number 173
loop_
_space_group_symop_operation_xyz
'x,y,z'
'x-y,x,z+1/2'
'-y,x-y,z'
'-x,-y,z+1/2'
'-x+y,-x,z'
'y,-x+y,z+1/2'
loop_
_atom_site_label
_atom_site_fract_x
_atom_site_fract_y
_atom_site_fract_z
La1 0.1520 0.3708 0.0000
In1 0.3333 0.6667 0.5714
Co1 0.0000 0.0000 0.1542
S1 0.0789 0.5655 0.7374
S2 0.0879 0.2090 0.4022
S3 0.3333 0.6667 0.1921
```

=====

Crystalline La5Nd4Hg at its relaxed geometry. Source: the Alexandria database, functional PBE-GGA.

Properties
DFT formation energy ... -86 meV/atom
Spin magnetization ... 0.000 μB/f.u.
VASP energy ... -4.49 eV/atom
Calculated volume ... 35.03 Å³/atom

Geometry as CIF:
```
data_La5Nd4Hg
_cell_length_a 3.761
_cell_length_b 3.761
_cell_length_c 24.757
_cell_angle_alpha 90.00
_cell_angle_beta 90.00
_cell_angle_gamma 90.00
_space_group_name_H-M_alt 'P 4/m m m'
_space_group_IT_number 123
_space_group_name_Hall '-P 4 2'
loop_
_atom_site_label
_atom_site_fract_x
_atom_site_fract_y
_atom_site_fract_z
La1 0.000 0.000 0.000
La2 0.000 0.000 0.208
La3 0.000 0.000 0.416
Nd1 0.500 0.500 0.104
Nd2 0.500 0.500 0.311
Hg1 0.500 0.500 0.500
```

=====

Crystalline CsPd3I at its relaxed geometry. Source: the Alexandria database, functional PBE-GGA.

Properties
Spin magnetization ... 0.000 μB/f.u.
VASP energy ... -3.47 eV/atom
Energy relative to the lowest polymorph listed for this composition ... 0 meV per atom
Calculated volume ... 28.28 Å³/atom

Geometry as CIF:
```
data_CsPd3I
_cell_length_a 5.210
_cell_length_b 5.210
_cell_length_c 5.210
_cell_angle_alpha 90.00
_cell_angle_beta 90.00
_cell_angle_gamma 90.00
_space_group_name_H-M_alt 'P m -3 m'
_space_group_IT_number 221
_space_group_name_Hall '-P 4 2 3'
loop_
_atom_site_label
_atom_site_fract_x
_atom_site_fract_y
_atom_site_fract_z
Cs1 0.000 0.000 0.000
Pd1 0.000 0.500 0.500
I1 0.500 0.500 0.500
```

=====

Crystalline ThZnGa3Cu at its relaxed geometry. Source: the Alexandria database, functional PBE-GGA.

Properties
DFT formation energy ... -14 meV/atom
Spin magnetization ... 0.000 μB/f.u.
VASP energy ... -3.66 eV/atom
Calculated volume ... 20.14 Å³/atom

Geometry as CIF:
```
data_ThZnGa3Cu
_cell_length_a 6.723
_cell_length_b 12.370
_cell_length_c 5.811
_cell_angle_alpha 90.00
_cell_angle_beta 90.00
_cell_angle_gamma 90.00
_space_group_name_H-M_alt 'C m c m'
_space_group_IT_number 63
_space_group_name_Hall '-C 2c 2'
loop_
_atom_site_label
_atom_site_fract_x
_atom_site_fract_y
_atom_site_fract_z
Th1 0.000 0.210 0.250
Zn1 0.000 0.447 0.250
Ga1 0.000 0.339 0.750
Ga2 0.191 0.000 0.000
Cu1 0.000 0.141 0.750
```

=====

Crystalline PrB4Mo at its relaxed geometry. Source: the Alexandria database, functional PBE-GGA.

Properties
DFT formation energy ... -500 meV/atom
Spin magnetization ... 0.000 μB/f.u.
VASP energy ... -7.55 eV/atom
Calculated volume ... 11.35 Å³/atom

Geometry as CIF:
```
data_PrB4Mo
_cell_length_a 6.147
_cell_length_b 11.893
_cell_length_c 3.727
_cell_angle_alpha 90.00
_cell_angle_beta 90.00
_cell_angle_gamma 90.00
_space_group_name_H-M_alt 'P b a m'
_space_group_IT_number 55
loop_
_space_group_symop_operation_xyz
'x,y,z'
'-x,-y,-z'
'-x,-y,z'
'x,y,-z'
'x+1/2,-y+1/2,-z'
'-x+1/2,y+1/2,z'
'-x+1/2,y+1/2,-z'
'x+1/2,-y+1/2,z'
loop_
_atom_site_label
_atom_site_fract_x
_atom_site_fract_y
_atom_site_fract_z
Pr1 0.124 0.150 0.000
B1 0.025 0.690 0.500
B2 0.112 0.546 0.500
B3 0.138 0.968 0.500
B4 0.220 0.816 0.500
Mo1 0.127 0.418 0.000
```

=====

Crystalline SrMgMo2 at its relaxed geometry. Source: the Alexandria database, functional PBE-GGA.

Properties
DFT formation energy ... 992 meV/atom
Spin magnetization ... 0.000 μB/f.u.
VASP energy ... -5.24 eV/atom
Calculated volume ... 20.73 Å³/atom

Geometry as CIF:
```
data_SrMgMo2
_cell_length_a 4.064
_cell_length_b 4.064
_cell_length_c 10.042
_cell_angle_alpha 90.00
_cell_angle_beta 90.00
_cell_angle_gamma 90.00
_space_group_name_H-M_alt 'I 4/m m m'
_space_group_IT_number 139
_space_group_name_Hall '-I 4 2'
loop_
_atom_site_label
_atom_site_fract_x
_atom_site_fract_y
_atom_site_fract_z
Sr1 0.000 0.000 0.000
Mg1 0.000 0.000 0.500
Mo1 0.000 0.500 0.250
```